[1]
Material: Sm3Y4Bi8
Method: DFT, PBE
State: optimized geometry

Structure (POSCAR):
```
Sm3Y4Bi8
1.0
6.360 -6.365 0.000
6.360 6.365 0.000
-6.324 0.000 6.365
Sm Y Bi
3 4 8
Direct
0.000 0.000 0.000
0.000 0.500 0.000
0.500 0.000 0.000
0.000 0.500 0.500
0.500 0.000 0.500
0.500 0.500 0.000
0.500 0.500 0.500
0.247 0.753 0.500
0.248 0.248 0.504
0.249 0.249 0.994
0.252 0.748 0.000
0.748 0.252 0.000
0.751 0.751 0.006
0.752 0.752 0.496
0.753 0.247 0.500
```

Computed properties:
V: 34.35 A^3/atom
Energy: -81.74 eV per cell
Space group: C2/m
Mass density: 7.99 g cm⁻³

[2]
Material: Sm5YBi4
Method: DFT, PBE
State: optimized geometry

Structure (POSCAR):
```
Sm5YBi4
1.0
9.659 -2.230 0.000
9.659 2.230 0.000
-2.392 0.000 8.340
Sm Y Bi
5 1 4
Direct
0.000 0.000 0.000
0.321 0.321 0.148
0.337 0.337 0.683
0.663 0.663 0.317
0.679 0.679 0.852
0.000 0.000 0.500
0.168 0.168 0.584
0.491 0.491 0.245
0.509 0.509 0.755
0.832 0.832 0.416
```

Computed properties:
V: 35.92 A^3/atom
Energy: -50.98 eV per cell
Space group: C2/m
Mass density: 7.75 g cm⁻³

[3]
Material: SmY2Bi
Method: DFT, PBE
State: optimized geometry

Structure (POSCAR):
```
SmY2Bi
1.0
4.181 0.000 0.000
0.000 12.578 0.000
0.000 0.000 9.733
Sm Y Bi
4 8 4
Direct
0.000 0.055 0.250
0.000 0.945 0.750
0.500 0.445 0.750
0.500 0.555 0.250
0.000 0.366 0.043
0.000 0.366 0.457
0.000 0.634 0.543
0.000 0.634 0.957
0.500 0.134 0.543
0.500 0.134 0.957
0.500 0.866 0.043
0.500 0.866 0.457
0.000 0.240 0.750
0.000 0.760 0.250
0.500 0.260 0.250
0.500 0.740 0.750
```

Computed properties:
V: 31.99 A^3/atom
Space group: Cmcm
Energy above the lowest structure with this stoichiometry: 0.000 eV per atom
Mass density: 6.97 g cm⁻³

> V of number 2 (Sm5YBi4)?

35.92 A^3/atom